Entry 1:
VASP calculation (PBE-GGA) on a relaxed structure of Ac8Co3Pd2.

abc: 8.196 8.196 7.311
angles: 90.15 90.15 63.55
Fractional positions:
Ac 0.112 0.112 0.329
Ac 0.121 0.642 0.170
Ac 0.358 0.879 0.830
Ac 0.386 0.386 0.652
Ac 0.614 0.614 0.348
Ac 0.642 0.121 0.170
Ac 0.879 0.358 0.830
Ac 0.888 0.888 0.671
Co 0.000 0.000 0.000
Co 0.257 0.743 0.500
Co 0.743 0.257 0.500
Pd 0.258 0.258 0.998
Pd 0.742 0.742 0.002

Computed properties:
SG = No. 12
formation energy = -0.24 eV per atom
V = 440 Å³/cell
DOS(E_F) = 9.4 states/eV per cell


Entry 2:
VASP calculation (PBE-GGA) on a relaxed structure of Ac4Co2Pd.

abc: 8.031 8.031 8.031
angles: 108.56 108.56 111.32
Fractional positions:
Ac 0.018 0.772 0.135
Ac 0.113 0.478 0.746
Ac 0.117 0.982 0.754
Ac 0.228 0.363 0.246
Ac 0.522 0.268 0.635
Ac 0.633 0.887 0.365
Ac 0.637 0.883 0.865
Ac 0.732 0.367 0.254
Co 0.006 0.125 0.381
Co 0.375 0.994 0.119
Co 0.744 0.625 0.619
Co 0.875 0.256 0.881
Pd 0.250 0.750 0.500
Pd 0.500 0.500 0.000

Computed properties:
SG = No. 122
formation energy = -0.19 eV per atom
V = 398 Å³/cell
DOS(E_F) = 6.2 states/eV per cell


Entry 3:
VASP calculation (PBE-GGA) on a relaxed structure of Ac3CoPd.

abc: 7.156 7.156 10.713
angles: 90.00 90.00 145.54
Fractional positions:
Ac 0.083 0.917 0.750
Ac 0.363 0.637 0.562
Ac 0.363 0.637 0.938
Ac 0.637 0.363 0.062
Ac 0.637 0.363 0.438
Ac 0.917 0.083 0.250
Co 0.000 0.000 0.000
Co 0.000 0.000 0.500
Pd 0.249 0.751 0.250
Pd 0.751 0.249 0.750

Computed properties:
SG = No. 63
formation energy = -0.34 eV per atom
V = 310 Å³/cell
DOS(E_F) = 6.8 states/eV per cell